This record from Alexandria describes a relaxed structure of ZrTe3Pd. The functional is PBE-GGA.

Formation energy (no corrections), eV/atom: -0.5761
ΔE to the lowest computed polymorph, meV/atom: 42
Total moment, μB per atom: 0.000

Lattice parameters (Å, degrees): 3.959 20.496 6.811 90.00 90.00 90.00
Space group Ama2 (No. 40)
Asymmetric unit:
1 Zr 0.250 0.163 0.000 (multiplicity 4)
2 Te 0.250 0.075 0.306 (multiplicity 4)
3 Te 0.250 0.237 0.606 (multiplicity 4)
4 Te 0.250 0.410 0.282 (multiplicity 4)
5 Pd 0.250 0.340 0.901 (multiplicity 4)

This record from Alexandria describes a relaxed structure of Zr6TePd. The functional is PBE-GGA.

Formation energy (no corrections), eV/atom: -0.3169
Total moment, μB per atom: 0.000

Lattice parameters (Å, degrees): 5.095 5.095 13.417 90.00 90.00 90.00
Space group I4/mmm (No. 139)
Asymmetric unit:
1 Zr 0.000 0.000 0.247 (multiplicity 4)
2 Zr 0.000 0.500 0.120 (multiplicity 8)
3 Te 0.000 0.000 0.500 (multiplicity 2)
4 Pd 0.000 0.000 0.000 (multiplicity 2)

This record from Alexandria describes a relaxed structure of ZrTe3Pd. The functional is PBE-GGA.

Formation energy (no corrections), eV/atom: 0.2309
ΔE to the lowest computed polymorph, meV/atom: 849
Total moment, μB per atom: 0.000

Lattice parameters (Å, degrees): 5.556 5.556 5.556 90.00 90.00 90.00
Space group Pm-3m (No. 221)
Asymmetric unit:
1 Zr 0.000 0.000 0.000 (multiplicity 1)
2 Te 0.000 0.000 0.500 (multiplicity 3)
3 Pd 0.500 0.500 0.500 (multiplicity 1)

This record from Alexandria describes a relaxed structure of ZrTe2Pd9. The functional is PBE-GGA.

Formation energy (no corrections), eV/atom: -0.3922
Total moment, μB per atom: 0.000

Lattice parameters (Å, degrees): 4.045 4.045 12.484 90.00 90.00 90.00
Space group P4/mmm (No. 123)
Asymmetric unit:
1 Zr 0.000 0.000 0.000 (multiplicity 1)
2 Te 0.000 0.000 0.340 (multiplicity 2)
3 Pd 0.000 0.500 0.158 (multiplicity 4)
4 Pd 0.000 0.500 0.500 (multiplicity 2)
5 Pd 0.500 0.500 0.000 (multiplicity 1)
6 Pd 0.500 0.500 0.323 (multiplicity 2)

This record from Alexandria describes a relaxed structure of Zr2Te2Pd. The functional is PBE-GGA.

Formation energy (no corrections), eV/atom: -0.5808
Total moment, μB per atom: 0.000

Lattice parameters (Å, degrees): 7.678 7.678 3.886 90.00 90.00 90.00
Space group P4/mbm (No. 127)
Asymmetric unit:
1 Zr 0.146 0.354 0.000 (multiplicity 4)
2 Te 0.152 0.652 0.500 (multiplicity 4)
3 Pd 0.000 0.000 0.000 (multiplicity 2)

This record from Alexandria describes a relaxed structure of ZrTe4Pd2. The functional is PBE-GGA.

Formation energy (no corrections), eV/atom: -0.4923
Total moment, μB per atom: 0.000

Lattice parameters (Å, degrees): 3.907 13.595 13.145 90.00 90.00 90.00
Space group Cmcm (No. 63)
Asymmetric unit:
1 Zr 0.000 0.122 0.250 (multiplicity 4)
2 Te 0.000 0.000 0.000 (multiplicity 4)
3 Te 0.000 0.284 0.612 (multiplicity 8)
4 Te 0.000 0.462 0.250 (multiplicity 4)
5 Pd 0.000 0.366 0.074 (multiplicity 8)

This record from Alexandria describes a relaxed structure of ZrTe4Pd. The functional is PBE-GGA.

Formation energy (no corrections), eV/atom: -0.4116
Total moment, μB per atom: 0.000

Lattice parameters (Å, degrees): 6.922 6.815 7.015 90.00 92.36 90.00
Space group P2_1/c (No. 14)
Asymmetric unit:
1 Zr 0.000 0.000 0.000 (multiplicity 2)
2 Te 0.137 0.126 0.374 (multiplicity 4)
3 Te 0.379 0.628 0.372 (multiplicity 4)
4 Pd 0.500 0.000 0.500 (multiplicity 2)

This record from Alexandria describes a relaxed structure of Zr2TePd8. The functional is PBE-GGA.

Formation energy (no corrections), eV/atom: -0.5385
Total moment, μB per atom: 0.000

Lattice parameters (Å, degrees): 4.720 5.866 14.070 90.00 90.00 90.00
Space group Immm (No. 71)
Asymmetric unit:
1 Zr 0.000 0.000 0.189 (multiplicity 4)
2 Te 0.000 0.000 0.500 (multiplicity 2)
3 Pd 0.000 0.247 0.000 (multiplicity 4)
4 Pd 0.000 0.263 0.357 (multiplicity 8)
5 Pd 0.000 0.500 0.186 (multiplicity 4)